Entry 1:
Density functional theory data (GGA-PBE) for crystalline In6Hg12Br at its relaxed geometry.

Output
* formation energy (no corrections): -7 meV per atom
* raw total energy: -1.151 eV/atom

Cell: 8.654 8.654 8.654 Å, 106.85 106.85 106.85°
Positions (direct):
In (0.282, 0.694, 0.694)
In (0.306, 0.306, 0.718)
In (0.306, 0.718, 0.306)
In (0.694, 0.282, 0.694)
In (0.694, 0.694, 0.282)
In (0.718, 0.306, 0.306)
Hg (0.110, 0.500, 0.890)
Hg (0.110, 0.890, 0.500)
Hg (0.116, 0.350, 0.350)
Hg (0.350, 0.116, 0.350)
Hg (0.350, 0.350, 0.116)
Hg (0.500, 0.110, 0.890)
Hg (0.500, 0.890, 0.110)
Hg (0.650, 0.650, 0.884)
Hg (0.650, 0.884, 0.650)
Hg (0.884, 0.650, 0.650)
Hg (0.890, 0.110, 0.500)
Hg (0.890, 0.500, 0.110)
Br (0.000, 0.000, 0.000)

---

Entry 2:
Density functional theory data (GGA-PBE) for crystalline InHg2Br at its relaxed geometry.

Output
* formation energy (no corrections): -319 meV per atom
* raw total energy: -1.572 eV/atom

Cell: 4.624 4.647 11.946 Å, 90.00 101.13 90.00°
Positions (direct):
In (0.174, 0.250, 0.347)
In (0.826, 0.750, 0.653)
Hg (0.061, 0.750, 0.118)
Hg (0.439, 0.750, 0.881)
Hg (0.561, 0.250, 0.119)
Hg (0.939, 0.250, 0.882)
Br (0.303, 0.250, 0.606)
Br (0.697, 0.750, 0.394)

---

| no. | energy relative to the lowest polymorph listed for this composition (meV per atom) | mass density (g/cm³) |
| --- | --- | --- |
| 1 | 39.3 | 9.73 |
| 2 | 0.0 | 7.86 |